Below is an optimized crystal structure of Ce2DyErIn4, with properties calculated at the PBE level.

Structure (CIF):
```
data_Ce2DyErIn4
_cell_length_a 5.3800
_cell_length_b 5.3800
_cell_length_c 26.3947
_cell_angle_alpha 90.00
_cell_angle_beta 90.00
_cell_angle_gamma 120.00
_space_group_name_H-M_alt 'R -3 m'
_space_group_IT_number 166
_space_group_name_Hall '-R 3 2"'
loop_
_atom_site_label
_atom_site_type_symbol
_atom_site_fract_x
_atom_site_fract_y
_atom_site_fract_z
Ce1 Ce 0.0000 0.0000 0.2504
Dy1 Dy 0.0000 0.0000 0.5000
Er1 Er 0.0000 0.0000 0.0000
In1 In 0.0000 0.0000 0.1248
In2 In 0.0000 0.0000 0.3749
```

Spin magnetization = 5.78 Bohr magnetons per cell
Calculated total energy = -4.394 eV per atom
V = 661.6 Å³/cell